! KAc2PmSe4 (PBE, relaxed); values from VASP
! Space-group type: P2/m (10)
! Formation energy (no corrections) (eV per atom): -1.776
&SYSTEM
  ibrav = 0, nat = 8, ntyp = 4
/
ATOMIC_SPECIES
Se 78.96 Se.upf
Ac 227.00 Ac.upf
K 39.10 K.upf
Pm 145.00 Pm.upf
CELL_PARAMETERS angstrom
4.4084 0.0000 0.0000
0.0000 7.5867 -0.1362
0.0000 2.6841 7.2869
ATOMIC_POSITIONS crystal
Se 0.0000 0.7500 0.7386
Ac 0.0000 0.0000 0.0000
Se 0.5000 0.7397 0.2614
K 0.5000 0.5000 0.0000
Pm 0.0000 0.5000 0.5000
Ac 0.5000 0.0000 0.5000
Se 0.5000 0.2603 0.7386
Se 0.0000 0.2500 0.2614